Model A:
A geometry-optimized LaPtCl2 structure. Source: the Alexandria database, functional GGA-PBEsol.

a b c (Å): 5.4569 5.4569 5.4569
angles (deg): 135.29 134.59 65.63
Closest atoms and distances in Å follow each position.
Fractional coordinates of all 4 atoms:
La 0.0000 0.0000 0.0000  8 Cl 2.96-3.11, 4 Pt 3.07-3.13
Pt 0.2472 0.7472 0.5000  8 Cl 2.96-3.13, 4 La 3.07-3.13
Cl 0.4954 0.4954 0.0000  4 La 2.96, 4 Pt 3.08-3.13, 4 Cl 3.10-3.11
Cl 0.7474 0.2474 0.5000  4 Pt 2.96, 4 La 3.10-3.11, 4 Cl 3.10-3.11

V (Å³ per cell): 80
Density (g/cm3): 8.38

=====

Model B:
A geometry-optimized LaPtCl2 structure. Source: the Alexandria database, functional GGA-PBEsol.

a b c (Å): 4.2652 4.4943 4.3183
angles (deg): 90.00 99.19 90.00
Closest atoms and distances in Å follow each position.
Fractional coordinates of all 4 atoms:
La 0.0000 0.0000 0.0000  2 Cl 2.78, 4 Pt 3.10
Pt 0.5000 0.5000 0.0000  2 Cl 2.78, 4 La 3.10
Cl 0.0000 0.5000 0.5000  2 Pt 2.78, 4 Cl 3.10
Cl 0.5000 0.0000 0.5000  2 La 2.78, 4 Cl 3.10

V (Å³ per cell): 82
Density (g/cm3): 8.23

=====

Model C:
A geometry-optimized LaPtCl2 structure. Source: the Alexandria database, functional GGA-PBEsol.

a b c (Å): 4.4539 4.4539 4.6469
angles (deg): 90.00 90.00 92.42
Closest atoms and distances in Å follow each position.
Fractional coordinates of all 4 atoms:
La 0.0000 0.0000 0.0000  4 Cl 2.81, 2 Pt 3.08
Pt 0.5000 0.5000 0.0000  4 Cl 2.84, 2 La 3.08
Cl 0.2467 0.7533 0.5000  2 La 2.81, 2 Pt 2.84, 2 Cl 3.08
Cl 0.7533 0.2467 0.5000  2 La 2.81, 2 Pt 2.84, 2 Cl 3.08

V (Å³ per cell): 92
Density (g/cm3): 7.30

=====

What should be chosen as the least stable of them? Choose model C.

=====

Model A:
A geometry-optimized La2PtCl structure. Source: the Alexandria database, functional GGA-PBEsol.

a b c (Å): 7.6507 7.6507 7.6507
angles (deg): 31.79 31.79 31.79
Closest atoms and distances in Å follow each position.
Fractional coordinates of all 4 atoms:
La 0.2395 0.2395 0.2395  3 Pt 2.89, 3 Cl 3.17
La 0.7605 0.7605 0.7605  3 Pt 2.89, 3 Cl 3.17
Pt 0.5000 0.5000 0.5000  6 La 2.89
Cl 0.0000 0.0000 0.0000  6 La 3.17

V (Å³ per cell): 110
Density (g/cm3): 7.65

=====

Model B:
A geometry-optimized La2PtCl structure. Source: the Alexandria database, functional GGA-PBEsol.

a b c (Å): 4.1340 4.1340 6.0224
angles (deg): 90.00 90.00 90.00
Closest atoms and distances in Å follow each position.
Fractional coordinates of all 4 atoms:
La 0.0000 0.0000 0.0000  4 Cl 2.92, 2 Pt 3.01
La 0.5000 0.5000 0.5000  4 Pt 2.92, 2 Cl 3.01
Pt 0.0000 0.0000 0.5000  6 La 2.92-3.01
Cl 0.5000 0.5000 0.0000  6 La 2.92-3.01

V (Å³ per cell): 103
Density (g/cm3): 8.20

=====

What should be chosen as the least stable of them? Choose model B.

=====

Model A:
A geometry-optimized LaRhCl2 structure. Source: the Alexandria database, functional GGA-PBEsol.

a b c (Å): 3.8720 3.8720 5.8837
angles (deg): 90.00 90.00 90.00
Closest atoms and distances in Å follow each position.
Fractional coordinates of all 4 atoms:
La 0.0000 0.0000 0.0000  5 Cl 2.75-2.95, 4 Rh 2.99
Rh 0.5000 0.5000 0.7971  1 Cl 2.29
Cl 0.0000 0.0000 0.5320  1 La 2.75
Cl 0.5000 0.5000 0.1857  1 Rh 2.29

V (Å³ per cell): 88
Density (g/cm3): 5.89

=====

Model B:
A geometry-optimized LaRhCl2 structure. Source: the Alexandria database, functional GGA-PBEsol.

a b c (Å): 3.9611 4.1018 4.7185
angles (deg): 90.00 90.00 90.00
Closest atoms and distances in Å follow each position.
Fractional coordinates of all 4 atoms:
La 0.0000 0.0000 0.0000  8 Cl 2.85-3.13, 4 Rh 3.08
Rh 0.5000 0.0000 0.5000  8 Cl 2.85-3.13, 4 La 3.08
Cl 0.0000 0.5000 0.5000  4 Rh 2.85, 4 Cl 3.08, 4 La 3.13
Cl 0.5000 0.5000 0.0000  4 La 2.85, 4 Cl 3.08, 4 Rh 3.13

V (Å³ per cell): 77
Density (g/cm3): 6.77

=====

Model C:
A geometry-optimized LaRhCl2 structure. Source: the Alexandria database, functional GGA-PBEsol.

a b c (Å): 5.6747 5.6747 5.2507
angles (deg): 93.21 93.21 38.10
Closest atoms and distances in Å follow each position.
Fractional coordinates of all 4 atoms:
La 0.0000 0.0000 0.0000  2 Rh 2.56
Rh 0.3677 0.3677 0.7830  1 Cl 2.34, 2 La 2.56
Cl 0.5000 0.5000 0.4439  1 Rh 2.34
Cl 0.7192 0.7192 0.9778  2 Rh 2.68, 2 La 3.00

V (Å³ per cell): 104
Density (g/cm3): 4.99

=====

Model D:
A geometry-optimized LaRhCl2 structure. Source: the Alexandria database, functional GGA-PBEsol.

a b c (Å): 4.9913 4.9913 4.9913
angles (deg): 126.79 126.79 78.59
Closest atoms and distances in Å follow each position.
Fractional coordinates of all 4 atoms:
La 0.0000 0.0000 0.0000  8 Cl 2.95, 4 Rh 3.16
Rh 0.5000 0.5000 0.0000  8 Cl 2.95, 4 La 3.16
Cl 0.2500 0.7500 0.5000  4 Rh 2.95, 4 La 2.95, 4 Cl 3.16
Cl 0.7500 0.2500 0.5000  4 Rh 2.95, 4 La 2.95, 4 Cl 3.16

V (Å³ per cell): 77
Density (g/cm3): 6.73

=====

What should be chosen as the least stable of them? Choose model D.

=====

Model A:
A geometry-optimized LaRh2Cl structure. Source: the Alexandria database, functional GGA-PBEsol.

a b c (Å): 3.5848 3.5848 5.6517
angles (deg): 90.00 90.00 90.00
Closest atoms and distances in Å follow each position.
Fractional coordinates of all 4 atoms:
La 0.0000 0.0000 0.0000  2 Cl 2.83, 8 Rh 2.90
Rh 0.5000 0.5000 0.2490  2 Rh 2.81-2.84, 4 La 2.90, 4 Cl 2.90
Rh 0.5000 0.5000 0.7510  2 Rh 2.81-2.84, 4 La 2.90, 4 Cl 2.90
Cl 0.0000 0.0000 0.5000  2 La 2.83, 8 Rh 2.90

V (Å³ per cell): 73
Density (g/cm3): 8.69

=====

Model B:
A geometry-optimized LaRh2Cl structure. Source: the Alexandria database, functional GGA-PBEsol.

a b c (Å): 5.4182 5.4182 4.0018
angles (deg): 111.55 111.55 117.11
Closest atoms and distances in Å follow each position.
Fractional coordinates of all 4 atoms:
La 0.0000 0.0000 0.0000  4 Rh 2.71, 4 Cl 2.83-2.84
Rh 0.0000 0.5000 0.5000  2 Cl 2.71, 2 La 2.71, 4 Rh 2.83-2.84
Rh 0.5000 0.0000 0.5000  2 La 2.71, 2 Cl 2.71, 4 Rh 2.83-2.84
Cl 0.5000 0.5000 0.0000  4 Rh 2.71, 4 La 2.83-2.84

V (Å³ per cell): 74
Density (g/cm3): 8.50

=====

What should be chosen as the least stable of them? Choose model A.

=====

Model A:
A geometry-optimized LaRu2Cl structure. Source: the Alexandria database, functional GGA-PBEsol.

a b c (Å): 7.8497 7.8497 7.8497
angles (deg): 24.31 24.31 24.31
Closest atoms and distances in Å follow each position.
Fractional coordinates of all 4 atoms:
La 0.0000 0.0000 0.0000  6 Ru 2.67
Ru 0.2515 0.2515 0.2515  3 La 2.67, 3 Cl 2.72
Ru 0.7485 0.7485 0.7485  3 La 2.67, 3 Cl 2.72
Cl 0.5000 0.5000 0.5000  6 Ru 2.72

V (Å³ per cell): 72
Density (g/cm3): 8.68

=====

Model B:
A geometry-optimized LaRu2Cl structure. Source: the Alexandria database, functional GGA-PBEsol.

a b c (Å): 3.2452 5.2843 4.3993
angles (deg): 90.00 90.43 90.00
Closest atoms and distances in Å follow each position.
Fractional coordinates of all 4 atoms:
La 0.0000 0.0000 0.0000  4 Cl 2.72-2.74
Ru 0.3449 0.5000 0.2501  2 Ru 2.41-2.43
Ru 0.6551 0.5000 0.7499  2 Ru 2.41-2.43
Cl 0.5000 0.0000 0.5000  4 La 2.72-2.74, 4 Ru 2.90

V (Å³ per cell): 75
Density (g/cm3): 8.29

=====

What should be chosen as the least stable of them? Choose model A.

=====

Model A:
A geometry-optimized LaRuCl2 structure. Source: the Alexandria database, functional GGA-PBEsol.

a b c (Å): 4.4822 4.4822 4.1143
angles (deg): 90.00 90.00 98.78
Closest atoms and distances in Å follow each position.
Fractional coordinates of all 4 atoms:
La 0.0000 0.0000 0.0000  4 Cl 2.84, 2 Ru 2.92
Ru 0.5000 0.5000 0.0000  4 Cl 2.51
Cl 0.2881 0.7119 0.5000  2 Ru 2.51
Cl 0.7119 0.2881 0.5000  2 Ru 2.51

V (Å³ per cell): 82
Density (g/cm3): 6.32

=====

Model B:
A geometry-optimized LaRuCl2 structure. Source: the Alexandria database, functional GGA-PBEsol.

a b c (Å): 6.9010 6.9010 6.9010
angles (deg): 34.20 34.20 34.20
Closest atoms and distances in Å follow each position.
Fractional coordinates of all 4 atoms:
La 0.0000 0.0000 0.0000  3 Ru 2.87, 6 Cl 2.93-3.07
Ru 0.7515 0.7515 0.7515  3 Cl 2.37
Cl 0.2428 0.2428 0.2428  3 La 2.93
Cl 0.4355 0.4355 0.4355  3 Ru 2.37

V (Å³ per cell): 93
Density (g/cm3): 5.58

=====

What should be chosen as the least stable of them? Choose model A.